Entry from OQMD via LeMat-Bulk: ZnNiAgB after structural relaxation (PBE-GGA).

Energy (eV/cell): -13.71

abc: 4.118 4.118 4.118
angles: 60.00 60.00 60.00
Sites, in units of the cell vectors:
Zn 0.000 0.000 0.000
Ni 0.250 0.250 0.250
Ag 0.500 0.500 0.500
B 0.750 0.750 0.750